Compound: KCr12Si8BrO28
Source: the Alexandria database
Functional: PBE with a Hubbard U
Structure: relaxed

Its total energy is -7.742 eV per atom.

It has space group I4mm (No. 107), with a = 10.6005 Å, b = 10.6005 Å, c = 13.2067 Å, α = 90.00°, β = 90.00° and γ = 90.00°. The asymmetric unit holds K at (0.0000, 0.0000, 0.0000), Cr at (0.0000, 0.2277, 0.7552), Cr at (0.0000, 0.2302, 0.3133), Cr at (0.0000, 0.3129, 0.5359), Si at (0.2232, 0.2232, 0.1478), Si at (0.2243, 0.2243, 0.9230), Br at (0.0000, 0.0000, 0.5723), O at (0.1242, 0.3063, 0.4160), O at (0.1252, 0.3082, 0.6551), O at (0.1453, 0.1453, 0.2347), O at (0.1448, 0.1448, 0.8375) and O at (0.1747, 0.1747, 0.0351).